Arrangement w

A plane-wave DFT calculation with PBE was carried out for RbMgIn3 after structural relaxation.

a b c (Å): 6.287 6.287 6.287
angles (deg): 90.00 90.00 90.00
Sites, in units of the cell vectors:
Rb: 0.000 0.000 0.000
Mg: 0.500 0.500 0.500
In: 0.000 0.000 0.500
In: 0.000 0.500 0.000
In: 0.500 0.000 0.000

Summary:
Total magnetization (Bohr magnetons per cell): 0.00
Symmetry: Pm-3m (221)

Arrangement x

A plane-wave DFT calculation with PBE was carried out for RbMgIn3 after structural relaxation.

a b c (Å): 5.671 5.671 5.671
angles (deg): 90.00 90.00 90.00
Sites, in units of the cell vectors:
Rb: 0.000 0.000 0.000
Mg: 0.500 0.500 0.500
In: 0.000 0.500 0.500
In: 0.500 0.000 0.500
In: 0.500 0.500 0.000

Summary:
Total magnetization (Bohr magnetons per cell): 0.00
Symmetry: Pm-3m (221)

Arrangement y

A plane-wave DFT calculation with PBE was carried out for RbMgIn3 after structural relaxation.

a b c (Å): 7.572 7.572 6.481
angles (deg): 90.00 90.00 120.00
Sites, in units of the cell vectors:
Rb: 0.333 0.667 0.250
Rb: 0.667 0.333 0.750
Mg: 0.000 0.000 0.000
Mg: 0.000 0.000 0.500
In: 0.194 0.388 0.750
In: 0.194 0.806 0.750
In: 0.388 0.194 0.250
In: 0.612 0.806 0.750
In: 0.806 0.194 0.250
In: 0.806 0.612 0.250

Summary:
Total magnetization (Bohr magnetons per cell): 0.00
Symmetry: P6_3/mmc (194)

Which is the most stable structure? arrangement y is the most stable.

Arrangement w

A plane-wave DFT calculation with PBE was carried out for RbMg3In after structural relaxation.

a b c (Å): 5.674 5.674 5.674
angles (deg): 90.00 90.00 90.00
Sites, in units of the cell vectors:
Rb: 0.000 0.000 0.000
Mg: 0.000 0.500 0.500
Mg: 0.500 0.000 0.500
Mg: 0.500 0.500 0.000
In: 0.500 0.500 0.500

Summary:
Total magnetization (Bohr magnetons per cell): 0.00
Symmetry: Pm-3m (221)

Arrangement x

A plane-wave DFT calculation with PBE was carried out for RbMg3In after structural relaxation.

a b c (Å): 6.424 6.424 6.424
angles (deg): 90.00 90.00 90.00
Sites, in units of the cell vectors:
Rb: 0.000 0.000 0.000
Mg: 0.000 0.000 0.500
Mg: 0.000 0.500 0.000
Mg: 0.500 0.000 0.000
In: 0.500 0.500 0.500

Summary:
Total magnetization (Bohr magnetons per cell): 0.00
Symmetry: Pm-3m (221)

Which is the most stable structure? arrangement w is the most stable.